(1)
! Rb3Tl7Cd2 | Alexandria | PBE | optimized geometry; values from VASP
&SYSTEM
  ibrav = 0, nat = 12, ntyp = 3
/
ATOMIC_SPECIES
Tl 204.38 Tl.upf
Rb 85.47 Rb.upf
Cd 112.41 Cd.upf
CELL_PARAMETERS angstrom
-6.1882 -1.5076 -2.5004
-4.6629 -3.0167 3.9969
-7.0961 7.8232 3.4829
ATOMIC_POSITIONS crystal
Tl 0.9260 0.4173 0.2394
Rb 0.8580 0.8580 0.4261
Tl 0.5827 0.5827 0.7606
Tl 0.4173 0.4173 0.2394
Rb 0.1420 0.1420 0.5739
Tl 0.5827 0.0740 0.7606
Cd 0.6644 0.6644 0.0068
Tl 0.5000 0.5000 0.5000
Tl 0.0740 0.5827 0.7606
Cd 0.3356 0.3356 0.9932
Tl 0.4173 0.9260 0.2394
Rb 0.0000 0.0000 0.0000
! N(E_F)   0.5327 states/eV/atom
! Total DFT energy (no corrections)   -1.836 eV per atom
! ΔE_f   -0.062 eV/atom

***

(2)
! RbTl2Cd4 | Alexandria | PBE | optimized geometry; values from VASP
&SYSTEM
  ibrav = 0, nat = 7, ntyp = 3
/
ATOMIC_SPECIES
Cd 112.41 Cd.upf
Rb 85.47 Rb.upf
Tl 204.38 Tl.upf
CELL_PARAMETERS angstrom
4.8579 0.0000 -1.1076
-0.2247 4.2181 -0.9854
-0.1465 0.2300 10.5644
ATOMIC_POSITIONS crystal
Cd 0.0741 0.5741 0.1482
Cd 0.3411 0.3411 0.6821
Rb 0.5000 0.0000 0.0000
Tl 0.8090 0.8090 0.6181
Cd 0.9259 0.4259 0.8518
Tl 0.1910 0.1910 0.3819
Cd 0.6589 0.6589 0.3179
! Excess energy over the best structure of this formula in the dataset   67 meV/atom
! N(E_F)   0.5008 states/eV/atom
! Total DFT energy (no corrections)   -1.311 eV per atom
! ΔE_f   0.027 eV/atom

***

(3)
! RbTlCd3 | Alexandria | PBE | optimized geometry; values from VASP
&SYSTEM
  ibrav = 0, nat = 5, ntyp = 3
/
ATOMIC_SPECIES
Cd 112.41 Cd.upf
Tl 204.38 Tl.upf
Rb 85.47 Rb.upf
CELL_PARAMETERS angstrom
-6.0514 0.0161 2.3148
-0.0519 -6.4782 -0.0907
2.3143 -0.1032 6.0507
ATOMIC_POSITIONS crystal
Cd 0.0000 0.5000 0.0000
Cd 0.0000 0.0000 0.5000
Tl 0.5000 0.5000 0.5000
Rb 0.0000 0.0000 0.0000
Cd 0.5000 0.0000 0.0000
! Excess energy over the best structure of this formula in the dataset   652 meV/atom
! N(E_F)   1.4596 states/eV/atom
! Total DFT energy (no corrections)   -0.596 eV per atom
! ΔE_f   0.620 eV/atom

***

(4)
! RbTl6Cd | Alexandria | PBE | optimized geometry; values from VASP
&SYSTEM
  ibrav = 0, nat = 8, ntyp = 3
/
ATOMIC_SPECIES
Tl 204.38 Tl.upf
Rb 85.47 Rb.upf
Cd 112.41 Cd.upf
CELL_PARAMETERS angstrom
5.4348 0.0000 0.0000
0.0000 5.4348 0.0000
0.0000 0.0000 9.5281
ATOMIC_POSITIONS crystal
Tl 0.0000 0.5000 0.3283
Tl 0.5000 0.0000 0.6717
Rb 0.0000 0.0000 0.0000
Tl 0.5000 0.5000 0.1598
Cd 0.0000 0.0000 0.5000
Tl 0.5000 0.5000 0.8402
Tl 0.5000 0.0000 0.3283
Tl 0.0000 0.5000 0.6717
! N(E_F)   0.2877 states/eV/atom
! Total DFT energy (no corrections)   -2.014 eV per atom
! ΔE_f   -0.004 eV/atom

***

(5)
! RbTl3Cd3 | Alexandria | PBE | optimized geometry; values from VASP
&SYSTEM
  ibrav = 0, nat = 14, ntyp = 3
/
ATOMIC_SPECIES
Rb 85.47 Rb.upf
Tl 204.38 Tl.upf
Cd 112.41 Cd.upf
CELL_PARAMETERS angstrom
8.9326 0.0000 0.0000
4.4663 7.7358 0.0000
4.4663 2.5786 6.4611
ATOMIC_POSITIONS crystal
Rb 0.6266 0.6266 0.1202
Tl 0.3240 0.3242 0.4116
Cd 0.9423 0.3012 0.8140
Cd 0.0577 0.6988 0.1860
Tl 0.6758 0.0598 0.5884
Tl 0.9402 0.3240 0.4116
Tl 0.3242 0.9402 0.4116
Cd 0.0576 0.0577 0.1860
Cd 0.3012 0.9424 0.8140
Tl 0.0598 0.6760 0.5884
Cd 0.6988 0.0576 0.1860
Tl 0.6760 0.6758 0.5884
Rb 0.3734 0.3734 0.8798
Cd 0.9424 0.9423 0.8140
! Excess energy over the best structure of this formula in the dataset   0 meV/atom
! N(E_F)   0.3787 states/eV/atom
! Total DFT energy (no corrections)   -1.572 eV per atom
! ΔE_f   -0.028 eV/atom

***

(6)
! Rb3TlCd2 | Alexandria | PBE | optimized geometry; values from VASP
&SYSTEM
  ibrav = 0, nat = 12, ntyp = 3
/
ATOMIC_SPECIES
Rb 85.47 Rb.upf
Cd 112.41 Cd.upf
Tl 204.38 Tl.upf
CELL_PARAMETERS angstrom
-4.0838 -2.4762 6.8878
-0.5005 -7.9280 -2.6734
6.7574 -3.5900 4.5796
ATOMIC_POSITIONS crystal
Rb 0.6498 0.3502 0.7500
Rb 0.2507 0.1224 0.5148
Cd 0.4449 0.9376 0.8752
Rb 0.8776 0.7493 0.9852
Rb 0.7493 0.8776 0.4852
Cd 0.0624 0.5551 0.6248
Tl 0.6766 0.3234 0.2500
Rb 0.3502 0.6498 0.2500
Rb 0.1224 0.2507 0.0148
Tl 0.3234 0.6766 0.7500
Cd 0.9376 0.4449 0.3752
Cd 0.5551 0.0624 0.1248
! N(E_F)   0.8250 states/eV/atom
! Total DFT energy (no corrections)   -1.204 eV per atom
! ΔE_f   -0.021 eV/atom

***

(7)
! Rb2TlCd | Alexandria | PBE | optimized geometry; values from VASP
&SYSTEM
  ibrav = 0, nat = 4, ntyp = 3
/
ATOMIC_SPECIES
Rb 85.47 Rb.upf
Cd 112.41 Cd.upf
Tl 204.38 Tl.upf
CELL_PARAMETERS angstrom
-3.3432 2.2686 -3.2614
-1.1805 -4.0340 -5.7966
-5.9858 -3.8575 -0.7492
ATOMIC_POSITIONS crystal
Rb 0.4372 0.4821 0.6430
Cd 0.7500 0.9855 0.5145
Rb 0.0627 0.8570 0.0179
Tl 0.2501 0.1754 0.3246
! Excess energy over the best structure of this formula in the dataset   46 meV/atom
! N(E_F)   0.7311 states/eV/atom
! Total DFT energy (no corrections)   -1.319 eV per atom
! ΔE_f   -0.015 eV/atom

***

(8)
! Rb5TlCd4 | Alexandria | PBE | optimized geometry; values from VASP
&SYSTEM
  ibrav = 0, nat = 10, ntyp = 3
/
ATOMIC_SPECIES
Rb 85.47 Rb.upf
Cd 112.41 Cd.upf
Tl 204.38 Tl.upf
CELL_PARAMETERS angstrom
0.5561 -4.2140 -2.3072
6.2856 -2.9808 6.9591
-12.0601 -0.3843 2.8641
ATOMIC_POSITIONS crystal
Rb 0.1969 0.7859 0.3938
Rb 0.1397 0.2765 0.2794
Cd 0.6238 0.9443 0.2475
Rb 0.8603 0.7235 0.7206
Cd 0.0404 0.8575 0.0809
Tl 0.5000 0.0000 0.0000
Rb 0.5000 0.5000 0.0000
Cd 0.9596 0.1425 0.9191
Rb 0.8031 0.2141 0.6062
Cd 0.3762 0.0557 0.7525
! N(E_F)   0.5965 states/eV/atom
! Total DFT energy (no corrections)   -1.115 eV per atom
! ΔE_f   -0.029 eV/atom

***

(9)
! Rb3Tl4Cd | Alexandria | PBE | optimized geometry; values from VASP
&SYSTEM
  ibrav = 0, nat = 8, ntyp = 3
/
ATOMIC_SPECIES
Tl 204.38 Tl.upf
Cd 112.41 Cd.upf
Rb 85.47 Rb.upf
CELL_PARAMETERS angstrom
6.6496 0.0000 -3.1108
-1.8640 6.6445 -3.9843
-0.1485 -1.1068 8.3449
ATOMIC_POSITIONS crystal
Tl 0.4147 0.4061 0.5337
Cd 0.6253 0.5000 0.0000
Tl 0.8810 0.5939 0.4663
Rb 0.2827 0.8022 0.3962
Rb 0.8865 0.1978 0.6038
Tl 0.3189 0.7639 0.9346
Rb 0.8577 0.0000 0.0000
Tl 0.3842 0.2361 0.0654
! N(E_F)   0.5446 states/eV/atom
! Total DFT energy (no corrections)   -1.705 eV per atom
! ΔE_f   -0.044 eV/atom

***

(10)
! Rb5Tl11Cd2 | Alexandria | PBE | optimized geometry; values from VASP
&SYSTEM
  ibrav = 0, nat = 18, ntyp = 3
/
ATOMIC_SPECIES
Rb 85.47 Rb.upf
Tl 204.38 Tl.upf
Cd 112.41 Cd.upf
CELL_PARAMETERS angstrom
11.2215 0.0254 0.0000
-3.3298 10.7161 0.0000
0.0000 0.0000 5.6791
ATOMIC_POSITIONS crystal
Rb 0.6043 0.2235 0.0000
Rb 0.5107 0.8892 0.5000
Tl 0.4389 0.4389 0.5000
Tl 0.2841 0.2841 0.0000
Cd 0.0593 0.0593 0.2504
Rb 0.2235 0.6043 0.0000
Tl 0.1398 0.3460 0.5000
Tl 0.7808 0.9794 0.0000
Rb 0.8892 0.5107 0.5000
Tl 0.9794 0.7808 0.0000
Tl 0.1507 0.8296 0.5000
Cd 0.0593 0.0593 0.7496
Tl 0.9676 0.2921 0.0000
Tl 0.3460 0.1398 0.5000
Rb 0.6297 0.6297 0.0000
Tl 0.2921 0.9676 0.0000
Tl 0.8298 0.8298 0.5000
Tl 0.8296 0.1507 0.5000
! N(E_F)   0.2745 states/eV/atom
! Total DFT energy (no corrections)   -1.933 eV per atom
! ΔE_f   -0.116 eV/atom

***

(11)
! Rb2Tl3Cd | Alexandria | PBE | optimized geometry; values from VASP
&SYSTEM
  ibrav = 0, nat = 12, ntyp = 3
/
ATOMIC_SPECIES
Rb 85.47 Rb.upf
Tl 204.38 Tl.upf
Cd 112.41 Cd.upf
CELL_PARAMETERS angstrom
-1.4661 -1.2234 6.8775
-6.6919 -2.1569 -5.5141
4.6098 -6.4909 -0.1719
ATOMIC_POSITIONS crystal
Rb 0.3169 0.6345 0.4086
Rb 0.6831 0.3655 0.5914
Tl 0.2823 0.0000 0.2500
Rb 0.3176 0.6345 0.9086
Cd 0.2535 0.0000 0.7500
Tl 0.1083 0.2173 0.0545
Tl 0.8910 0.7827 0.4455
Rb 0.6824 0.3655 0.0914
Tl 0.7177 0.0000 0.7500
Tl 0.1090 0.2173 0.5545
Cd 0.7465 0.0000 0.2500
Tl 0.8917 0.7827 0.9455
! N(E_F)   0.4669 states/eV/atom
! Total DFT energy (no corrections)   -1.719 eV per atom
! ΔE_f   -0.061 eV/atom

***

(12)
! RbTlCd2 | Alexandria | PBE | optimized geometry; values from VASP
&SYSTEM
  ibrav = 0, nat = 8, ntyp = 3
/
ATOMIC_SPECIES
Rb 85.47 Rb.upf
Cd 112.41 Cd.upf
Tl 204.38 Tl.upf
CELL_PARAMETERS angstrom
-0.5729 -5.1817 2.5841
3.6259 1.7036 4.2199
-6.6114 1.9126 8.9203
ATOMIC_POSITIONS crystal
Rb 0.5000 0.5000 0.0000
Rb 0.2500 0.7500 0.5000
Cd 0.8750 0.1252 0.7500
Cd 0.3750 0.1248 0.7500
Cd 0.8748 0.6250 0.2500
Cd 0.8752 0.1250 0.2500
Tl 0.7500 0.2500 0.5000
Tl 0.0000 0.0000 0.0000
! Excess energy over the best structure of this formula in the dataset   125 meV/atom
! N(E_F)   0.6378 states/eV/atom
! Total DFT energy (no corrections)   -1.216 eV per atom
! ΔE_f   0.075 eV/atom

***

(13)
! Rb2Tl7Cd | Alexandria | PBE | optimized geometry; values from VASP
&SYSTEM
  ibrav = 0, nat = 10, ntyp = 3
/
ATOMIC_SPECIES
Tl 204.38 Tl.upf
Rb 85.47 Rb.upf
Cd 112.41 Cd.upf
CELL_PARAMETERS angstrom
-0.4399 2.2587 -4.8063
-5.3083 -0.0444 0.4650
0.3791 11.6510 5.4405
ATOMIC_POSITIONS crystal
Tl 0.5000 0.0000 0.3640
Tl 0.0000 0.5000 0.8750
Tl 0.5000 0.0000 0.1250
Rb 0.5000 0.0000 0.7531
Tl 0.0000 0.0000 0.5000
Rb 0.0000 0.5000 0.2469
Cd 0.5000 0.5000 0.0000
Tl 0.0000 0.5000 0.6360
Tl 0.5000 0.5000 0.5000
Tl 0.0000 0.0000 0.0000
! Excess energy over the best structure of this formula in the dataset   0 meV/atom
! N(E_F)   0.5814 states/eV/atom
! Total DFT energy (no corrections)   -1.990 eV per atom
! ΔE_f   -0.048 eV/atom

***

(14)
! RbTl3Cd3 | Alexandria | PBE | optimized geometry; values from VASP
&SYSTEM
  ibrav = 0, nat = 14, ntyp = 3
/
ATOMIC_SPECIES
Cd 112.41 Cd.upf
Rb 85.47 Rb.upf
Tl 204.38 Tl.upf
CELL_PARAMETERS angstrom
8.3148 0.0000 0.0000
0.0000 8.3148 0.0000
0.0000 0.0000 8.3148
ATOMIC_POSITIONS crystal
Cd 0.5000 0.7500 0.0000
Cd 0.0000 0.5000 0.2500
Rb 0.5000 0.5000 0.5000
Rb 0.0000 0.0000 0.0000
Tl 0.0000 0.7500 0.5000
Tl 0.0000 0.2500 0.5000
Cd 0.7500 0.0000 0.5000
Tl 0.7500 0.5000 0.0000
Cd 0.5000 0.2500 0.0000
Cd 0.0000 0.5000 0.7500
Tl 0.5000 0.0000 0.7500
Cd 0.2500 0.0000 0.5000
Tl 0.5000 0.0000 0.2500
Tl 0.2500 0.5000 0.0000
! Excess energy over the best structure of this formula in the dataset   167 meV/atom
! N(E_F)   0.9525 states/eV/atom
! Total DFT energy (no corrections)   -1.405 eV per atom
! ΔE_f   0.139 eV/atom

***

(15)
! Rb2Tl3Cd5 | Alexandria | PBE | optimized geometry; values from VASP
&SYSTEM
  ibrav = 0, nat = 20, ntyp = 3
/
ATOMIC_SPECIES
Tl 204.38 Tl.upf
Cd 112.41 Cd.upf
Rb 85.47 Rb.upf
CELL_PARAMETERS angstrom
-0.2683 -2.4014 6.5982
-3.3007 -9.8273 0.0307
8.3844 -5.7651 1.9842
ATOMIC_POSITIONS crystal
Tl 0.1051 0.2368 0.5529
Cd 0.1486 0.9539 0.7488
Tl 0.8949 0.7632 0.4471
Tl 0.7500 0.0000 0.0000
Cd 0.4654 0.2846 0.2846
Tl 0.6051 0.5529 0.2368
Cd 0.2500 0.5000 0.5000
Rb 0.3662 0.9016 0.3659
Cd 0.5346 0.7154 0.7154
Cd 0.3514 0.2512 0.0461
Cd 0.9654 0.2846 0.2846
Cd 0.0346 0.7154 0.7154
Cd 0.8514 0.0461 0.2512
Rb 0.8662 0.3659 0.9016
Tl 0.2500 0.0000 0.0000
Cd 0.6486 0.7488 0.9539
Tl 0.3949 0.4471 0.7632
Rb 0.6338 0.0984 0.6341
Rb 0.1338 0.6341 0.0984
Cd 0.7500 0.5000 0.5000
! N(E_F)   0.5550 states/eV/atom
! Total DFT energy (no corrections)   -1.401 eV per atom
! ΔE_f   -0.040 eV/atom

***

(16)
! Rb3Tl2Cd3 | Alexandria | PBE | optimized geometry; values from VASP
&SYSTEM
  ibrav = 0, nat = 16, ntyp = 3
/
ATOMIC_SPECIES
Cd 112.41 Cd.upf
Rb 85.47 Rb.upf
Tl 204.38 Tl.upf
CELL_PARAMETERS angstrom
5.5374 0.0000 0.0000
-2.7687 6.5048 0.0000
0.0000 0.0000 17.6276
ATOMIC_POSITIONS crystal
Cd 0.3889 0.7777 0.5318
Rb 0.0893 0.1785 0.8874
Cd 0.7061 0.4122 0.7500
Rb 0.5995 0.1990 0.2500
Rb 0.9107 0.8215 0.1126
Cd 0.6111 0.2223 0.4682
Cd 0.3889 0.7777 0.9682
Rb 0.9107 0.8215 0.3874
Cd 0.6111 0.2223 0.0318
Rb 0.0893 0.1785 0.6126
Tl 0.7912 0.5824 0.9143
Tl 0.2088 0.4176 0.0857
Rb 0.4005 0.8010 0.7500
Tl 0.7912 0.5824 0.5857
Cd 0.2939 0.5878 0.2500
Tl 0.2088 0.4176 0.4143
! N(E_F)   0.5796 states/eV/atom
! Total DFT energy (no corrections)   -1.360 eV per atom
! ΔE_f   -0.062 eV/atom

***

(17)
! Rb2Tl4Cd | Alexandria | PBE | optimized geometry; values from VASP
&SYSTEM
  ibrav = 0, nat = 7, ntyp = 3
/
ATOMIC_SPECIES
Rb 85.47 Rb.upf
Tl 204.38 Tl.upf
Cd 112.41 Cd.upf
CELL_PARAMETERS angstrom
5.7119 0.0000 0.0000
0.0000 5.7119 0.0000
2.8560 2.8560 9.6376
ATOMIC_POSITIONS crystal
Rb 0.6477 0.6477 0.7047
Tl 0.1568 0.1568 0.6865
Cd 0.0000 0.0000 0.0000
Tl 0.8432 0.8432 0.3135
Rb 0.3523 0.3523 0.2953
Tl 0.5000 0.0000 0.0000
Tl 0.0000 0.5000 0.0000
! N(E_F)   0.8150 states/eV/atom
! Total DFT energy (no corrections)   -1.639 eV per atom
! ΔE_f   0.120 eV/atom

***

(18)
! RbTl12Cd4 | Alexandria | PBE | optimized geometry; values from VASP
&SYSTEM
  ibrav = 0, nat = 17, ntyp = 3
/
ATOMIC_SPECIES
Cd 112.41 Cd.upf
Tl 204.38 Tl.upf
Rb 85.47 Rb.upf
CELL_PARAMETERS angstrom
9.0861 0.0000 0.0000
-3.0287 8.5664 0.0000
-3.0287 -4.2832 7.4187
ATOMIC_POSITIONS crystal
Cd 0.5000 0.5000 0.5000
Tl 0.3528 0.1973 0.8445
Tl 0.5082 0.1555 0.3528
Tl 0.8027 0.1555 0.6472
Rb 0.0000 0.0000 0.0000
Tl 0.1973 0.8445 0.3528
Tl 0.6472 0.8027 0.1555
Tl 0.6472 0.4918 0.8445
Cd 0.0000 0.0000 0.5000
Tl 0.8445 0.6472 0.4918
Tl 0.4918 0.8445 0.6472
Cd 0.5000 0.0000 0.0000
Tl 0.3528 0.5082 0.1555
Cd 0.0000 0.5000 0.0000
Tl 0.1555 0.6472 0.8027
Tl 0.8445 0.3528 0.1973
Tl 0.1555 0.3528 0.5082
! N(E_F)   0.7027 states/eV/atom
! Total DFT energy (no corrections)   -1.827 eV per atom
! ΔE_f   0.115 eV/atom

***

(19)
! RbTl4Cd | Alexandria | PBE | optimized geometry; values from VASP
&SYSTEM
  ibrav = 0, nat = 12, ntyp = 3
/
ATOMIC_SPECIES
Tl 204.38 Tl.upf
Cd 112.41 Cd.upf
Rb 85.47 Rb.upf
CELL_PARAMETERS angstrom
-2.8070 2.0474 -3.5993
-3.7554 -8.1027 -1.6804
-6.4234 1.7336 5.9955
ATOMIC_POSITIONS crystal
Tl 0.0000 0.0000 0.0000
Cd 0.0000 0.7752 0.2500
Tl 0.5000 0.6973 0.0562
Tl 0.5000 0.9438 0.7500
Rb 0.0000 0.6217 0.7500
Tl 0.5000 0.0562 0.2500
Tl 0.5000 0.3027 0.5562
Cd 0.0000 0.2248 0.7500
Tl 0.5000 0.6973 0.4438
Tl 0.5000 0.3027 0.9438
Rb 0.0000 0.3783 0.2500
Tl 0.0000 0.0000 0.5000
! Excess energy over the best structure of this formula in the dataset   0 meV/atom
! N(E_F)   0.4464 states/eV/atom
! Total DFT energy (no corrections)   -1.942 eV per atom
! ΔE_f   -0.050 eV/atom

***

(20)
! RbTl3Cd3 | Alexandria | PBE | optimized geometry; values from VASP
&SYSTEM
  ibrav = 0, nat = 14, ntyp = 3
/
ATOMIC_SPECIES
Rb 85.47 Rb.upf
Cd 112.41 Cd.upf
Tl 204.38 Tl.upf
CELL_PARAMETERS angstrom
-2.0087 0.8163 -4.3193
-5.9975 -8.5029 1.1822
-3.4094 9.3189 3.3468
ATOMIC_POSITIONS crystal
Rb 0.7500 0.3333 0.6667
Cd 0.7500 0.0369 0.1982
Rb 0.2500 0.6667 0.3333
Tl 0.7500 0.3924 0.3344
Cd 0.7500 0.8018 0.8387
Cd 0.7500 0.1613 0.9631
Cd 0.2500 0.8387 0.0369
Tl 0.2500 0.3344 0.9421
Cd 0.2500 0.9631 0.8018
Tl 0.2500 0.6076 0.6656
Tl 0.7500 0.6656 0.0579
Tl 0.7500 0.9421 0.6076
Tl 0.2500 0.0579 0.3924
Cd 0.2500 0.1982 0.1613
! Excess energy over the best structure of this formula in the dataset   36 meV/atom
! N(E_F)   0.5068 states/eV/atom
! Total DFT energy (no corrections)   -1.536 eV per atom
! ΔE_f   0.008 eV/atom

***

(21)
! RbTlCd2 | Alexandria | PBE | optimized geometry; values from VASP
&SYSTEM
  ibrav = 0, nat = 4, ntyp = 3
/
ATOMIC_SPECIES
Cd 112.41 Cd.upf
Rb 85.47 Rb.upf
Tl 204.38 Tl.upf
CELL_PARAMETERS angstrom
-3.1171 -0.3248 -4.1927
-0.5829 -4.5728 -2.4800
-6.1846 -3.0576 1.5672
ATOMIC_POSITIONS crystal
Cd 0.7026 0.7026 0.8923
Cd 0.2974 0.2974 0.1077
Rb 0.5000 0.5000 0.5000
Tl 0.0000 0.0000 0.0000
! Excess energy over the best structure of this formula in the dataset   27 meV/atom
! N(E_F)   0.3984 states/eV/atom
! Total DFT energy (no corrections)   -1.315 eV per atom
! ΔE_f   -0.024 eV/atom